Record 1
DFT (PBE) results for an optimized crystal structure of Dy4CdGa12.

POSCAR file:
```
Dy4CdGa12
1.0
7.154 0.000 -2.529
-3.577 6.195 -2.529
0.000 0.000 7.588
Dy Cd Ga
4 1 12
Direct
0.000 0.000 0.500 Dy
0.500 0.000 0.000 Dy
0.500 0.500 0.500 Dy
0.000 0.500 0.000 Dy
0.000 0.000 0.000 Cd
0.000 0.313 0.313 Ga
0.000 0.687 0.687 Ga
0.687 0.687 0.000 Ga
0.313 0.313 0.000 Ga
0.313 0.000 0.313 Ga
0.687 0.000 0.687 Ga
0.500 0.250 0.750 Ga
0.500 0.750 0.250 Ga
0.750 0.250 0.500 Ga
0.250 0.750 0.500 Ga
0.750 0.500 0.250 Ga
0.250 0.500 0.750 Ga
```

Values from the calculation:
DFT total energy, eV/atom: -3.749
Formation enthalpy at 0 K, eV/atom: -0.476
Spin magnetization, μB per cell: 0.0



Record 2
DFT (PBE) results for an optimized crystal structure of HfTlCo2H.

POSCAR file:
```
HfTlCo2H
1.0
-0.233 2.522 -4.084
0.268 -4.606 -2.860
-4.795 -0.324 0.073
Co Tl Hf H
2 1 1 1
Direct
0.000 0.000 0.500 Co
0.500 0.000 0.000 Co
0.000 0.000 0.000 Tl
0.000 0.500 0.000 Hf
0.500 0.500 0.500 H
```

Values from the calculation:
DFT total energy, eV/atom: -3.933
Spin magnetization, μB per cell: 3.5



Record 3
DFT (PBE) results for an optimized crystal structure of GaSi2Ni2.

POSCAR file:
```
GaSi2Ni2
1.0
-3.378 -6.001 1.782
5.970 -3.697 -1.136
0.676 0.343 2.437
Ni Si Ga
4 4 2
Direct
0.368 0.868 0.000 Ni
0.868 0.632 0.000 Ni
0.632 0.132 0.000 Ni
0.132 0.368 0.000 Ni
0.160 0.660 0.500 Si
0.660 0.840 0.500 Si
0.840 0.340 0.500 Si
0.340 0.160 0.500 Si
0.000 0.000 0.000 Ga
0.500 0.500 0.000 Ga
```

Values from the calculation:
DFT total energy, eV/atom: -5.280
Energy relative to the elements, uncorrected, eV per atom: -0.19
Spin magnetization, μB per cell: 0.0